Entry 1:
First-principles (GGA-PBE) data for a relaxed structure of HoHg2Pd, as listed in Alexandria via LeMat-Bulk.

* ΔE_f: -0.497 eV per atom
* D(E_F): 11.79 states/eV/cell
* V: 22.01 A^3/atom

Unit cell a=4.5487 b=4.5487 c=17.0182 alpha=90.00 beta=90.00 gamma=90.00
With the nearest neighbours (Å) after each atom.
Space group I4/mmm (No. 139)
Symmetry-distinct sites (fractional):
Ho 0.0000 0.0000 0.1410 [4 per cell]  4 Pd 2.93, 4 Hg 3.22
Hg 0.0000 0.0000 0.3580 [4 per cell]  4 Pd 2.92, 4 Ho 3.22
Hg 0.0000 0.5000 0.0000 [4 per cell]  8 Hg 3.22-3.32, 4 Ho 3.31
Pd 0.0000 0.5000 0.2500 [4 per cell]  4 Hg 2.92, 4 Ho 2.93, 4 Pd 3.22


Entry 2:
First-principles (GGA-PBE) data for a relaxed structure of Ho2Hg3Pd, as listed in Alexandria via LeMat-Bulk.

* ΔE_f: -0.506 eV per atom
* D(E_F): 2.65 states/eV/cell
* V: 23.13 A^3/atom

Unit cell a=3.4199 b=4.8106 c=8.4345 alpha=90.00 beta=90.00 gamma=90.00
With the nearest neighbours (Å) after each atom.
Space group Pmm2 (No. 25)
Symmetry-distinct sites (fractional):
Ho 0.0000 0.0000 0.0000 [1 per cell]  2 Pd 3.02, 4 Hg 3.16
Ho 0.0000 0.5000 0.4424 [1 per cell]  8 Hg 3.11-3.45, 4 Pd 3.20, 2 Ho 3.42
Hg 0.5000 0.0000 0.6218 [1 per cell]  1 Pd 2.75, 2 Hg 2.82
Hg 0.5000 0.5000 0.1339 [1 per cell]  2 Pd 2.76, 1 Hg 2.84
Hg 0.5000 0.5000 0.7973 [1 per cell]  3 Hg 2.82-2.84
Pd 0.5000 0.0000 0.2954 [1 per cell]  3 Hg 2.75-2.76, 2 Ho 3.02


Entry 3:
First-principles (GGA-PBE) data for a relaxed structure of Ho3Hg4Pd4, as listed in Alexandria via LeMat-Bulk.

* ΔE_f: -0.560 eV per atom
* D(E_F): 11.62 states/eV/cell
* V: 21.75 A^3/atom

Unit cell a=3.6684 b=7.9031 c=16.5058 alpha=90.00 beta=90.00 gamma=90.00
With the nearest neighbours (Å) after each atom.
Space group Immm (No. 71)
Symmetry-distinct sites (fractional):
Ho 0.0000 0.0000 0.0000 [2 per cell]  4 Pd 3.05
Ho 0.0000 0.5000 0.1098 [4 per cell]  6 Pd 2.89-2.99, 4 Hg 3.19
Hg 0.0000 0.3132 0.3409 [8 per cell]  4 Pd 2.80-2.85, 1 Hg 2.95
Pd 0.0000 0.0000 0.2549 [4 per cell]  6 Hg 2.84-2.85, 2 Ho 2.89
Pd 0.0000 0.1913 0.5000 [4 per cell]  2 Hg 2.80, 6 Ho 2.99-3.05, 1 Pd 3.02


Entry 4:
First-principles (GGA-PBE) data for a relaxed structure of HoHgPd3, as listed in Alexandria via LeMat-Bulk.

* ΔE_f: -0.468 eV per atom
* D(E_F): 7.43 states/eV/cell
* V: 20.13 A^3/atom

Unit cell a=5.3979 b=14.4462 c=5.1637 alpha=90.00 beta=90.00 gamma=90.00
With the nearest neighbours (Å) after each atom.
Space group Cmcm (No. 63)
Symmetry-distinct sites (fractional):
Ho 0.0000 0.1902 0.2500 [4 per cell]  8 Pd 2.82-3.04
Hg 0.0000 0.4302 0.7500 [4 per cell]  10 Pd 3.06-3.27, 2 Ho 3.21, 2 Hg 3.28
Pd 0.0000 0.0000 0.0000 [4 per cell]  6 Pd 2.58-2.74
Pd 0.2444 0.3625 0.2500 [8 per cell]  4 Pd 2.64-2.76, 1 Ho 2.82


Entry 5:
First-principles (GGA-PBE) data for a relaxed structure of HoHgPd4, as listed in Alexandria via LeMat-Bulk.

* ΔE_f: -0.315 eV per atom
* D(E_F): 4.11 states/eV/cell
* V: 20.83 A^3/atom

Unit cell a=7.1117 b=8.6678 c=4.0551 alpha=90.00 beta=90.00 gamma=90.00
With the nearest neighbours (Å) after each atom.
Space group Cmmm (No. 65)
Symmetry-distinct sites (fractional):
Ho 0.0000 0.0000 0.0000 [2 per cell]  8 Pd 2.80-2.95
Hg 0.0000 0.5000 0.0000 [2 per cell]  8 Pd 2.80-2.99
Pd 0.0000 0.2466 0.5000 [4 per cell]  4 Pd 2.70, 2 Ho 2.95, 2 Hg 2.99
Pd 0.2500 0.2500 0.0000 [4 per cell]  4 Pd 2.70, 2 Hg 2.80, 2 Ho 2.80


Entry 6:
First-principles (GGA-PBE) data for a relaxed structure of Ho3HgPd, as listed in Alexandria via LeMat-Bulk.

* ΔE_f: -0.408 eV per atom
* D(E_F): 17.51 states/eV/cell
* V: 27.98 A^3/atom

Unit cell a=9.8054 b=14.8096 c=3.8532 alpha=90.00 beta=90.00 gamma=90.00
With the nearest neighbours (Å) after each atom.
Space group Cmmm (No. 65)
Symmetry-distinct sites (fractional):
Ho 0.0000 0.1656 0.0000 [4 per cell]  2 Pd 2.75
Ho 0.1930 0.3834 0.5000 [8 per cell]  2 Pd 2.82
Hg 0.0000 0.0000 0.5000 [2 per cell]  8 Ho 3.12-3.47
Hg 0.0000 0.5000 0.0000 [2 per cell]  8 Ho 3.21
Pd 0.2500 0.2500 0.0000 [4 per cell]  6 Ho 2.75-2.82


Entry 7:
First-principles (GGA-PBE) data for a relaxed structure of HoHgPd14, as listed in Alexandria via LeMat-Bulk.

* ΔE_f: -0.233 eV per atom
* D(E_F): 30.52 states/eV/cell
* V: 16.24 A^3/atom

Unit cell a=5.6935 b=5.6935 c=8.0133 alpha=90.00 beta=90.00 gamma=90.00
With the nearest neighbours (Å) after each atom.
Space group P4/mmm (No. 123)
Symmetry-distinct sites (fractional):
Ho 0.0000 0.0000 0.0000 [1 per cell]  12 Pd 2.85-2.88
Hg 0.5000 0.5000 0.0000 [1 per cell]  12 Pd 2.85-2.88
Pd 0.0000 0.0000 0.5000 [1 per cell]  12 Pd 2.80-2.85
Pd 0.0000 0.5000 0.0000 [2 per cell]  2 Hg 2.85, 2 Ho 2.85, 8 Pd 2.88
Pd 0.0000 0.5000 0.5000 [2 per cell]  12 Pd 2.80-2.85
Pd 0.2498 0.2498 0.2567 [8 per cell]  10 Pd 2.80-2.88, 1 Ho 2.88, 1 Hg 2.88
Pd 0.5000 0.5000 0.5000 [1 per cell]  12 Pd 2.80-2.85


Entry 8:
First-principles (GGA-PBE) data for a relaxed structure of HoHg3Pd, as listed in Alexandria via LeMat-Bulk.

* ΔE_f: -0.339 eV per atom
* D(E_F): 5.23 states/eV/cell
* V: 23.86 A^3/atom

Unit cell a=4.9098 b=9.6738 c=5.5902 alpha=90.00 beta=116.02 gamma=90.00
With the nearest neighbours (Å) after each atom.
Space group P2_1/m (No. 11)
Symmetry-distinct sites (fractional):
Ho 0.1651 0.2500 0.3287 [2 per cell]  3 Pd 3.00-3.30, 5 Hg 3.07-3.14
Hg 0.1402 0.7500 0.2821 [2 per cell]  2 Pd 2.80, 1 Ho 3.07, 2 Hg 3.12
Hg 0.3496 0.5111 0.6996 [4 per cell]  2 Pd 2.80-2.90, 2 Hg 3.03-3.12
Pd 0.4933 0.2500 0.9847 [2 per cell]  6 Hg 2.80-2.90, 2 Ho 3.00


Entry 9:
First-principles (GGA-PBE) data for a relaxed structure of Ho6HgPd12, as listed in Alexandria via LeMat-Bulk.

* ΔE_f: -0.720 eV per atom
* D(E_F): 28.95 states/eV/cell
* V: 19.91 A^3/atom

Unit cell a=10.8927 b=10.8927 c=11.0428 alpha=90.00 beta=90.00 gamma=120.00
With the nearest neighbours (Å) after each atom.
Space group R-3 (No. 148, hexagonal axes)
Symmetry-distinct sites (fractional):
Ho 0.0107 0.5787 0.2455 [18 per cell]  6 Pd 2.74-3.07
Hg 0.0000 0.0000 0.5000 [3 per cell]  6 Pd 2.73
Pd 0.0625 0.8662 0.3217 [18 per cell]  2 Pd 2.64-2.71, 1 Hg 2.73, 1 Ho 2.87
Pd 0.0656 0.1750 0.8896 [18 per cell]  5 Pd 2.64-2.95, 2 Ho 2.74-2.77


Entry 10:
First-principles (GGA-PBE) data for a relaxed structure of Ho6HgPd2, as listed in Alexandria via LeMat-Bulk.

* ΔE_f: -0.536 eV per atom
* D(E_F): 37.62 states/eV/cell
* V: 26.10 A^3/atom

Unit cell a=9.4033 b=9.7162 c=10.2858 alpha=90.00 beta=90.00 gamma=90.00
With the nearest neighbours (Å) after each atom.
Space group Immm (No. 71)
Symmetry-distinct sites (fractional):
Ho 0.0000 0.1957 0.2387 [8 per cell]  1 Pd 2.86, 1 Hg 3.11
Ho 0.2011 0.5000 0.1715 [8 per cell]  3 Pd 2.75-2.99
Ho 0.2126 0.3182 0.5000 [8 per cell]  3 Pd 3.00-3.14, 1 Hg 3.23
Hg 0.0000 0.0000 0.0000 [2 per cell]  8 Ho 3.11-3.23, 2 Pd 3.36
Hg 0.0000 0.0000 0.5000 [2 per cell]  12 Ho 3.29-3.68
Pd 0.0000 0.3458 0.0000 [4 per cell]  8 Ho 2.86-3.14, 1 Pd 3.00
Pd 0.0000 0.5000 0.3662 [4 per cell]  1 Pd 2.75, 6 Ho 2.75-3.00


Entry 11:
First-principles (GGA-PBE) data for a relaxed structure of HoHgPdPt, as listed in Alexandria via LeMat-Bulk.

* ΔE_f: -0.743 eV per atom
* D(E_F): 8.92 states/eV/cell
* V: 19.42 A^3/atom

Unit cell a=6.7726 b=6.7726 c=6.7726 alpha=90.00 beta=90.00 gamma=90.00
With the nearest neighbours (Å) after each atom.
Space group F-43m (No. 216)
Symmetry-distinct sites (fractional):
Ho 0.0000 0.0000 0.0000 [4 per cell]  4 Pd 2.93, 4 Pt 2.93
Hg 0.0000 0.0000 0.5000 [4 per cell]  4 Pt 2.93, 4 Pd 2.93
Pd 0.2500 0.2500 0.2500 [4 per cell]  4 Hg 2.93, 4 Ho 2.93
Pt 0.2500 0.2500 0.7500 [4 per cell]  4 Ho 2.93, 4 Hg 2.93


Entry 12:
First-principles (GGA-PBE) data for a relaxed structure of HoPuHgPd, as listed in Alexandria via LeMat-Bulk.

* ΔE_f: -0.393 eV per atom
* D(E_F): 45.96 states/eV/cell
* V: 23.96 A^3/atom

Unit cell a=7.2644 b=7.2644 c=7.2644 alpha=90.00 beta=90.00 gamma=90.00
With the nearest neighbours (Å) after each atom.
Space group F-43m (No. 216)
Symmetry-distinct sites (fractional):
Ho 0.0000 0.0000 0.0000 [4 per cell]  4 Hg 3.15, 4 Pd 3.15
Pu 0.0000 0.0000 0.5000 [4 per cell]  4 Hg 3.15, 4 Pd 3.15
Hg 0.2500 0.2500 0.2500 [4 per cell]  4 Ho 3.15, 4 Pu 3.15
Pd 0.2500 0.2500 0.7500 [4 per cell]  4 Ho 3.15, 4 Pu 3.15